A plane-wave DFT calculation with PBE-GGA was carried out for a geometry-optimized Sm3S2NO structure.

Calculated values
Final energy: -103.78 eV/cell

Cell: 7.9617 7.9617 9.7176 Å, 98.45 98.45 28.56°
Positions (direct):
Sm (0.0492, 0.0492, 0.2674)
Sm (0.1999, 0.1999, 0.6705)
Sm (0.3871, 0.3871, 0.0522)
Sm (0.6129, 0.6129, 0.9478)
Sm (0.8001, 0.8001, 0.3295)
Sm (0.9508, 0.9508, 0.7326)
S (0.2130, 0.2130, 0.1542)
S (0.3679, 0.3679, 0.5258)
S (0.6321, 0.6321, 0.4742)
S (0.7870, 0.7870, 0.8458)
N (0.0982, 0.0982, 0.8083)
N (0.9018, 0.9018, 0.1917)
O (0.4622, 0.4622, 0.8585)
O (0.5378, 0.5378, 0.1415)

=====

A plane-wave DFT calculation with PBE-GGA was carried out for a geometry-optimized Tm3S2NO structure.

Calculated values
Final energy: -103.82 eV/cell

Cell: 7.6965 7.6965 9.3597 Å, 99.33 99.33 28.20°
Positions (direct):
Tm (0.0533, 0.0533, 0.2624)
Tm (0.1970, 0.1970, 0.6718)
Tm (0.3902, 0.3902, 0.0576)
Tm (0.6098, 0.6098, 0.9424)
Tm (0.8030, 0.8030, 0.3282)
Tm (0.9467, 0.9467, 0.7376)
S (0.2156, 0.2156, 0.1510)
S (0.3643, 0.3643, 0.5306)
S (0.6357, 0.6357, 0.4694)
S (0.7844, 0.7844, 0.8490)
N (0.0943, 0.0943, 0.8040)
N (0.9057, 0.9057, 0.1960)
O (0.4592, 0.4592, 0.8616)
O (0.5407, 0.5407, 0.1384)

=====

A plane-wave DFT calculation with PBE-GGA was carried out for a geometry-optimized SmSbN2O structure.

Calculated values
Final energy: -33.95 eV/cell

Cell: 4.0367 4.0367 3.9763 Å, 90.00 90.00 90.00°
Positions (direct):
Sm (0.0000, 0.0000, 0.0000)
Sb (0.5000, 0.5000, 0.5000)
N (0.0000, 0.5000, 0.5000)
N (0.5000, 0.0000, 0.5000)
O (0.5000, 0.5000, 0.0000)